Material: ScBeW2
Method: DFT, PBE
State: optimized geometry

Structure (POSCAR):
```
ScBeW2
1.0
9.092 0.000 0.000
0.000 2.770 0.000
-0.678 0.000 5.049
Sc Be W
2 2 4
Cartesian
0.000 0.000 0.000
4.546 1.385 0.000
2.082 1.385 1.201
6.628 0.000 1.201
1.621 0.000 3.578
3.952 0.000 2.393
6.167 1.385 3.578
8.498 1.385 2.393
```

Computed properties:
Symmetry   No. 8
Energy of formation   0.360 eV/atom

=====

Material: ScBe2W
Method: DFT, PBE
State: optimized geometry

Structure (POSCAR):
```
ScBe2W
1.0
2.757 0.000 0.000
0.000 2.769 0.000
0.000 0.000 7.104
Sc Be W
1 2 1
Cartesian
0.000 0.000 0.000
0.000 0.000 4.044
1.379 1.384 5.099
1.379 1.384 2.347
```

Computed properties:
ΔE to the lowest computed polymorph   0.104 eV per atom
Symmetry   No. 25
Energy of formation   0.141 eV/atom

=====

Material: Sc4BeW
Method: DFT, PBE
State: optimized geometry

Structure (POSCAR):
```
Sc4BeW
1.0
0.000 3.896 3.896
3.896 0.000 3.896
3.896 3.896 0.000
Sc Be W
4 1 1
Cartesian
0.964 0.964 0.964
2.932 2.932 0.964
2.932 0.964 2.932
0.964 2.932 2.932
3.896 3.896 3.896
5.843 5.843 5.843
```

Computed properties:
Symmetry   No. 216
Energy of formation   0.805 eV/atom

=====

Material: Sc2Be2W
Method: DFT, PBE
State: optimized geometry

Structure (POSCAR):
```
Sc2Be2W
1.0
3.661 0.000 0.000
0.000 3.661 0.000
0.000 0.000 11.056
Sc Be W
4 4 2
Cartesian
0.000 1.830 2.764
0.000 1.830 8.292
1.830 0.000 2.764
1.830 0.000 8.292
0.000 0.000 0.939
0.000 0.000 10.118
1.830 1.830 4.590
1.830 1.830 6.467
0.000 0.000 5.528
1.830 1.830 0.000
```

Computed properties:
ΔE to the lowest computed polymorph   0.341 eV per atom
Symmetry   No. 139
Energy of formation   0.546 eV/atom

=====

Material: ScBeW2
Method: DFT, PBE
State: optimized geometry

Structure (POSCAR):
```
ScBeW2
1.0
3.198 0.000 0.000
0.000 3.198 0.000
0.000 0.000 6.198
Sc Be W
1 1 2
Cartesian
0.000 0.000 0.000
1.599 1.599 4.464
0.000 0.000 3.248
1.599 1.599 1.822
```

Computed properties:
Symmetry   No. 99
Energy of formation   0.099 eV/atom

=====

Material: ScBe2W
Method: DFT, PBE
State: optimized geometry

Structure (POSCAR):
```
ScBe2W
1.0
3.900 0.000 0.000
0.000 3.926 0.000
0.000 0.000 7.119
Sc Be W
2 4 2
Cartesian
0.000 0.000 0.000
1.950 1.963 0.000
0.000 1.963 1.900
0.000 1.963 5.219
1.950 0.000 1.900
1.950 0.000 5.219
0.000 0.000 3.560
1.950 1.963 3.560
```

Computed properties:
ΔE to the lowest computed polymorph   0.092 eV per atom
Symmetry   No. 65
Energy of formation   0.128 eV/atom

=====

Material: ScBe2W
Method: DFT, PBE
State: optimized geometry

Structure (POSCAR):
```
ScBe2W
1.0
8.575 0.000 0.000
0.000 2.728 0.000
-0.845 0.000 5.100
Sc Be W
2 4 2
Cartesian
0.000 0.000 0.000
4.287 1.364 0.000
1.517 0.000 3.407
1.925 1.364 1.693
5.805 1.364 3.407
6.213 0.000 1.693
-0.423 1.364 2.550
3.865 0.000 2.550
```

Computed properties:
ΔE to the lowest computed polymorph   0.300 eV per atom
Symmetry   No. 12
Energy of formation   0.337 eV/atom

=====

Material: ScBeW2
Method: DFT, PBE
State: optimized geometry

Structure (POSCAR):
```
ScBeW2
1.0
3.182 0.000 0.000
0.000 3.182 0.000
0.000 0.000 6.243
Sc Be W
1 1 2
Cartesian
0.000 0.000 0.000
0.000 0.000 3.122
1.591 1.591 1.936
1.591 1.591 4.307
```

Computed properties:
Symmetry   No. 123
Energy of formation   0.264 eV/atom

=====

Material: ScBeW2
Method: DFT, PBE
State: optimized geometry

Structure (POSCAR):
```
ScBeW2
1.0
2.794 0.000 0.000
0.000 4.409 0.000
-0.643 0.000 5.233
Sc Be W
1 1 2
Cartesian
0.000 0.000 0.000
0.572 2.204 4.012
0.922 0.000 2.688
1.772 2.204 1.570
```

Computed properties:
Symmetry   No. 6
Energy of formation   0.294 eV/atom

=====

Material: ScBeW2
Method: DFT, PBE
State: optimized geometry

Structure (POSCAR):
```
ScBeW2
1.0
5.424 0.000 0.000
0.000 9.215 0.000
-0.987 0.000 2.538
Sc Be W
2 2 4
Cartesian
0.000 0.000 0.000
2.712 4.608 0.000
0.000 4.608 0.000
2.712 0.000 0.000
0.863 2.304 1.269
0.863 6.912 1.269
3.575 2.304 1.269
3.575 6.912 1.269
```

Computed properties:
Symmetry   No. 12
Energy of formation   0.356 eV/atom

=====

Material: ScBeW2
Method: DFT, PBE
State: optimized geometry

Structure (POSCAR):
```
ScBeW2
1.0
2.721 0.000 0.000
0.000 4.398 0.000
0.000 0.000 5.381
Sc Be W
1 1 2
Cartesian
0.000 0.000 0.000
0.000 0.000 2.691
1.360 2.199 1.378
1.360 2.199 4.003
```

Computed properties:
Symmetry   No. 47
Energy of formation   0.479 eV/atom

=====

Material: ScBeW2
Method: DFT, PBE
State: optimized geometry

Structure (POSCAR):
```
ScBeW2
1.0
2.790 0.000 0.000
0.000 4.621 0.000
-0.660 0.000 4.968
Sc Be W
1 1 2
Cartesian
0.000 0.000 0.000
1.065 0.000 2.484
0.371 2.310 3.721
1.760 2.310 1.247
```

Computed properties:
Symmetry   No. 10
Energy of formation   0.339 eV/atom

=====

Material: YSc2Be2
Method: DFT, PBE
State: optimized geometry

Structure (POSCAR):
```
YSc2Be2
1.0
4.534 0.000 0.000
0.000 4.534 0.000
0.000 0.000 10.181
Y Sc Be
2 4 4
Cartesian
0.000 0.000 0.000
2.267 2.267 5.090
0.000 0.000 3.562
0.000 0.000 6.619
2.267 2.267 1.528
2.267 2.267 8.653
0.000 2.267 2.545
0.000 2.267 7.636
2.267 0.000 2.545
2.267 0.000 7.636
```

Computed properties:
ΔE to the lowest computed polymorph   0.213 eV per atom
Symmetry   No. 139
Energy of formation   0.325 eV/atom

=====

Material: Y2ScBe2
Method: DFT, PBE
State: optimized geometry

Structure (POSCAR):
```
Y2ScBe2
1.0
7.654 0.000 0.000
0.000 7.654 0.000
0.000 0.000 3.690
Y Sc Be
4 2 4
Cartesian
1.383 2.444 0.000
2.444 6.271 0.000
5.210 1.383 0.000
6.271 5.210 0.000
0.000 0.000 1.845
3.827 3.827 1.845
0.828 4.655 1.845
3.000 0.828 1.845
4.655 6.827 1.845
6.827 3.000 1.845
```

Computed properties:
Symmetry   No. 127
Energy of formation   0.112 eV/atom

=====

Material: Y2ScBe
Method: DFT, PBE
State: optimized geometry

Structure (POSCAR):
```
Y2ScBe
1.0
3.378 0.000 0.000
0.000 3.378 0.000
0.000 0.000 8.476
Y Sc Be
2 1 1
Cartesian
0.000 0.000 0.000
1.689 1.689 2.780
1.689 1.689 5.956
0.000 0.000 4.601
```

Computed properties:
Symmetry   No. 99
Energy of formation   0.053 eV/atom

=====

Material: YSc2Be2
Method: DFT, PBE
State: optimized geometry

Structure (POSCAR):
```
YSc2Be2
1.0
7.517 0.000 0.000
0.000 7.517 0.000
0.000 0.000 3.472
Y Sc Be
2 4 4
Cartesian
0.000 0.000 0.000
3.758 3.758 0.000
1.302 2.457 1.736
2.457 6.215 1.736
5.060 1.302 1.736
6.215 5.060 1.736
0.849 4.607 0.000
2.910 0.849 0.000
4.607 6.668 0.000
6.668 2.910 0.000
```

Computed properties:
ΔE to the lowest computed polymorph   0.000 eV per atom
Symmetry   No. 127
Energy of formation   0.112 eV/atom

=====

Material: Y2ScBe
Method: DFT, PBE
State: optimized geometry

Structure (POSCAR):
```
Y2ScBe
1.0
3.534 0.000 0.000
0.000 4.678 0.000
-1.765 0.000 5.981
Y Sc Be
2 1 1
Cartesian
0.000 0.000 0.000
-0.001 2.339 3.829
1.766 0.000 2.598
1.772 2.339 1.183
```

Computed properties:
Symmetry   No. 6
Energy of formation   0.189 eV/atom

=====

Material: YSc3Be
Method: DFT, PBE
State: optimized geometry

Structure (POSCAR):
```
YSc3Be
1.0
5.178 0.000 0.000
0.000 5.178 0.000
0.000 0.000 5.178
Y Sc Be
1 3 1
Cartesian
0.000 0.000 0.000
0.000 0.000 2.589
0.000 2.589 0.000
2.589 0.000 0.000
2.589 2.589 2.589
```

Computed properties:
ΔE to the lowest computed polymorph   1.193 eV per atom
Symmetry   No. 221
Energy of formation   1.400 eV/atom

=====

Material: YScBe3
Method: DFT, PBE
State: optimized geometry

Structure (POSCAR):
```
YScBe3
1.0
4.717 0.000 0.000
0.000 4.717 0.000
0.000 0.000 4.717
Y Sc Be
1 1 3
Cartesian
0.000 0.000 0.000
2.358 2.358 2.358
0.000 0.000 2.358
0.000 2.358 0.000
2.358 0.000 0.000
```

Computed properties:
ΔE to the lowest computed polymorph   0.491 eV per atom
Symmetry   No. 221
Energy of formation   1.485 eV/atom

=====

Material: Y2ScBe
Method: DFT, PBE
State: optimized geometry

Structure (POSCAR):
```
Y2ScBe
1.0
8.127 0.000 0.000
0.000 8.127 0.000
0.000 0.000 6.078
Y Sc Be
8 4 4
Cartesian
1.572 2.032 0.760
2.032 5.636 2.279
2.032 6.554 5.318
2.491 2.032 3.799
5.636 6.095 3.799
6.095 1.572 5.318
6.095 2.491 2.279
6.554 6.095 0.760
0.000 0.000 3.039
0.000 4.063 4.559
4.063 0.000 1.520
4.063 4.063 0.000
0.000 0.000 0.000
0.000 4.063 1.520
4.063 0.000 4.559
4.063 4.063 3.039
```

Computed properties:
Symmetry   No. 122
Energy of formation   0.350 eV/atom